No. 1
CaScFe2 | PBE-GGA | relaxed

Cell lengths 6.613, 6.715, 3.368 Å; angles 90.00, 90.00, 90.00 degrees
Space group Cmmm (No. 65)
Symmetry-distinct sites (fractional):
Ca 0.000 0.000 0.000
Sc 0.000 0.500 0.000
Fe 0.250 0.250 0.500

Total magnetization ... 7.306 Bohr magnetons per cell
Energy relative to the elements ... 162.9 kJ/mol of formula units
V ... 18.694 A^3/atom
Density of states at the Fermi level ... 12.9 states/eV per cell

No. 2
SmDyHo2Se6 | PBE-GGA | relaxed

Cell lengths 7.2322, 7.2322, 19.4753 Å; angles 90.00, 90.00, 120.00 degrees
Space group R3 (No. 146, hexagonal axes)
Symmetry-distinct sites (fractional):
Sm 0.0000 0.0000 0.0000
Dy 0.0000 0.0000 0.4973
Ho 0.0000 0.0000 0.3007
Ho 0.0000 0.0000 0.8025
Se 0.0041 0.3087 0.8979
Se 0.0129 0.7053 0.3983

Raw formation energy ... -1.85 eV per atom
Total magnetization ... 0.000 Bohr magnetons per cell
V ... 29.407 A^3/atom
Density of states at the Fermi level ... 0.0 states/eV per cell